Record 1
Computed, not measured: a relaxed LiGaPdAu crystal at the GGA-PBE level of DFT.

a b c (Å): 4.382 4.382 4.382
angles (deg): 60.00 60.00 60.00
Atoms (fractional coordinates):
Li (0.000, 0.000, 0.000)
Ga (0.500, 0.500, 0.500)
Pd (0.250, 0.250, 0.250)
Au (0.750, 0.750, 0.750)

Computed properties:
As for the final energy: -15.6 eV/cell. The size of the total moment comes out at 0.000 μB/f.u.

***

Record 2
Computed, not measured: a relaxed BeV2H crystal at the GGA-PBE level of DFT.

a b c (Å): 4.654 4.654 4.654
angles (deg): 109.10 109.10 110.22
Atoms (fractional coordinates):
Be (0.000, 0.000, 0.000)
Be (0.750, 0.250, 0.500)
V (0.199, 0.125, 0.574)
V (0.375, 0.801, 0.926)
V (0.551, 0.625, 0.426)
V (0.875, 0.449, 0.074)
H (0.250, 0.750, 0.500)
H (0.500, 0.500, 0.000)

Computed properties:
As for the distance to the lowest polymorph of the same formula: 0 meV per atom. As for the final energy: -50.0 eV/cell. The size of the total moment comes out at 0.000 μB/f.u.

***

Record 3
Computed, not measured: a relaxed LiTaOs2 crystal at the GGA-PBE level of DFT.

a b c (Å): 9.430 9.430 9.430
angles (deg): 16.77 16.77 16.77
Atoms (fractional coordinates):
Li (0.000, 0.000, 0.000)
Ta (0.500, 0.500, 0.500)
Os (0.251, 0.251, 0.251)
Os (0.749, 0.749, 0.749)

Computed properties:
As for the final energy: -35.6 eV/cell. The size of the total moment comes out at 0.000 μB/f.u.

***

Record 4
Computed, not measured: a relaxed Nd6Dy3Ho2Er crystal at the GGA-PBE level of DFT.

a b c (Å): 6.264 6.264 11.835
angles (deg): 95.04 95.04 120.00
Atoms (fractional coordinates):
Nd (0.083, 0.416, 0.751)
Nd (0.250, 0.250, 0.249)
Nd (0.416, 0.083, 0.751)
Nd (0.584, 0.917, 0.249)
Nd (0.750, 0.750, 0.751)
Nd (0.917, 0.584, 0.249)
Dy (0.000, 0.000, 0.500)
Dy (0.333, 0.667, 0.500)
Dy (0.667, 0.333, 0.500)
Ho (0.167, 0.833, 0.000)
Ho (0.833, 0.167, 0.000)
Er (0.500, 0.500, 0.000)

Computed properties:
As for the final energy: -56.0 eV/cell. The size of the total moment comes out at 0.000 μB/f.u.

***

Record 5
Computed, not measured: a relaxed RbMgTl2Rh crystal at the GGA-PBE level of DFT.

a b c (Å): 5.364 5.364 5.187
angles (deg): 90.00 90.00 90.00
Atoms (fractional coordinates):
Rb (0.000, 0.000, 0.000)
Mg (0.500, 0.500, 0.000)
Tl (0.000, 0.500, 0.500)
Tl (0.500, 0.000, 0.500)
Rh (0.500, 0.500, 0.500)

Computed properties:
As for the final energy: -15.3 eV/cell. The size of the total moment comes out at 0.000 μB/f.u.

***

Record 6
Computed, not measured: a relaxed CsMg2NiGe crystal at the GGA-PBE level of DFT.

a b c (Å): 6.097 6.097 4.783
angles (deg): 90.00 90.00 90.00
Atoms (fractional coordinates):
Cs (0.000, 0.000, 0.000)
Mg (0.000, 0.500, 0.000)
Mg (0.500, 0.000, 0.000)
Ni (0.000, 0.000, 0.500)
Ge (0.500, 0.500, 0.500)

Computed properties:
As for the final energy: -6.3 eV/cell. The size of the total moment comes out at 0.000 μB/f.u.